! KPaIr, relaxed, DFT PBE; values from VASP
&SYSTEM
  ibrav = 0, nat = 12, ntyp = 3
/
ATOMIC_SPECIES
K 39.10 K.upf
Pa 231.04 Pa.upf
Ir 192.22 Ir.upf
CELL_PARAMETERS angstrom
6.8652 0.0000 0.0000
0.0000 6.8652 0.0000
0.0000 0.0000 6.8652
ATOMIC_POSITIONS angstrom
K 0.0000 0.0000 0.0000
K 0.0000 3.4326 3.4326
K 3.4326 0.0000 3.4326
K 3.4326 3.4326 0.0000
Pa 0.0000 0.0000 3.4326
Pa 0.0000 3.4326 0.0000
Pa 3.4326 0.0000 0.0000
Pa 3.4326 3.4326 3.4326
Ir 1.7163 1.7163 1.7163
Ir 1.7163 5.1489 5.1489
Ir 5.1489 1.7163 5.1489
Ir 5.1489 5.1489 1.7163
! - Electronic total energy: -5.87 eV per atom
! - Total moment: 3.71 μB per cell
! - Energy above the most stable polymorph in this dataset: 0.000 eV per formula unit



! KIrPd, relaxed, DFT PBE; values from VASP
&SYSTEM
  ibrav = 0, nat = 12, ntyp = 3
/
ATOMIC_SPECIES
K 39.10 K.upf
Ir 192.22 Ir.upf
Pd 106.42 Pd.upf
CELL_PARAMETERS angstrom
6.5725 0.0000 0.0000
0.0000 6.5725 0.0000
0.0000 0.0000 6.5725
ATOMIC_POSITIONS angstrom
K 0.0000 0.0000 0.0000
K 0.0000 3.2863 3.2863
K 3.2863 0.0000 3.2863
K 3.2863 3.2863 0.0000
Ir 0.0000 0.0000 3.2863
Ir 0.0000 3.2863 0.0000
Ir 3.2863 0.0000 0.0000
Ir 3.2863 3.2863 3.2863
Pd 1.6431 1.6431 4.9294
Pd 1.6431 4.9294 1.6431
Pd 4.9294 1.6431 1.6431
Pd 4.9294 4.9294 4.9294
! - Electronic total energy: -3.86 eV per atom
! - Total moment: 8.03 μB per cell
! - Energy above the most stable polymorph in this dataset: 0.000 eV per formula unit